KRb2Hg2F6: relaxed, PBE.

The space group is C2/m (No. 12) and the conventional cell measures 11.488, 6.990 and 7.431 Å, with angles of 90.00, 118.34 and 90.00 degrees. Symmetry generates all atoms from K at (0.000, 0.000, 0.000), Rb at (0.213, 0.000, 0.639), Hg at (0.064, 0.500, 0.709), F at (0.075, 0.254, 0.309) and F at (0.241, 0.000, 0.029).

For the uncorrected formation energy, the calculation gives -2.001 eV/atom. The volume is 23.87 Å³/atom. For the total energy, the calculation gives -73.75 eV per cell.

KRb2Hg3F12: relaxed, PBE.

The space group is R-3m (No. 166, hexagonal axes) and the conventional cell measures 8.4234, 8.4234 and 17.7083 Å, with angles of 90.00, 90.00 and 120.00 degrees. Symmetry generates all atoms from K at (0.0000, 0.0000, 0.0000), Rb at (0.0000, 0.0000, 0.3857), Hg at (0.0000, 0.5000, 0.5000), F at (0.0433, 0.5216, 0.3847) and F at (0.0641, 0.5320, 0.8106).

For the uncorrected formation energy, the calculation gives -1.720 eV/atom. The volume is 20.15 Å³/atom. For the total energy, the calculation gives -172.05 eV per cell.

KRb2HgF8: relaxed, PBE.

The space group is P-1 (No. 2) and the conventional cell measures 5.118, 5.877 and 8.265 Å, with angles of 89.93, 89.97 and 84.27 degrees. Symmetry generates all atoms from K at (0.000, 0.000, 0.000), Rb at (0.500, 0.500, 0.259), Hg at (0.000, 0.000, 0.500), F at (0.069, 0.226, 0.302), F at (0.070, 0.225, 0.697), F at (0.370, 0.808, 0.499) and F at (0.492, 0.172, 0.000).

For the uncorrected formation energy, the calculation gives -1.800 eV/atom. The volume is 20.61 Å³/atom. For the total energy, the calculation gives -39.91 eV per cell.

KRb2HgF5: relaxed, PBE.

The space group is Immm (No. 71) and the conventional cell measures 4.537, 6.466 and 13.508 Å, with angles of 90.00, 90.00 and 90.00 degrees. Symmetry generates all atoms from K at (0.000, 0.000, 0.000), Rb at (0.000, 0.500, 0.210), Hg at (0.000, 0.000, 0.500), F at (0.000, 0.248, 0.373) and F at (0.000, 0.500, 0.000).

For the uncorrected formation energy, the calculation gives -2.263 eV/atom. The volume is 22.02 Å³/atom. For the total energy, the calculation gives -66.11 eV per cell.